The following is a DFT calculation (GGA+U) of PuWO6 after structural relaxation.

The total energy is -8.5742 eV/atom. Its density of states at the Fermi level is 4.76 states/eV per cell. For the magnetization, the calculation gives 2.0 μB per formula unit.

Unit cell a=5.6437 b=5.6437 c=5.6437 alpha=59.61 beta=59.61 gamma=59.61
Sites, in units of the cell vectors:
1 Pu 0.0000 0.0000 0.0000
2 W 0.5000 0.5000 0.5000
3 O 0.2176 0.2982 0.7423
4 O 0.2577 0.7824 0.7018
5 O 0.2982 0.7423 0.2176
6 O 0.7018 0.2577 0.7824
7 O 0.7423 0.2176 0.2982
8 O 0.7824 0.7018 0.2577